5
Lattice="-2.8298 2.6381 -3.2448 -4.0073 -0.5901 3.0149 0.8524 3.0396 1.7279" Properties=species:S:1:pos:R:3 comment="NaCoCl2O (GGA+U, relaxed)" n_ef_per_ev_atom=0.17 dft_energy_ev_per_atom=-4.04 space_group=P4/mmm pbc="T T T"
Na -2.9923 2.5438 0.7490
Co 0.0000 0.0000 0.0000
O 0.4262 1.5198 0.8639
Cl -2.0036 -0.2951 1.5075
Cl -1.4149 1.3190 -1.6224